# TmUCoO6, optimized geometry, DFT PBE with a Hubbard U
# Magnetization: 0.441 μB per atom
# Total DFT energy (no corrections): -8.04 eV per atom
data_TmUCoO6
_chemical_formula_sum 'Tm2 U2 Co2 O12'
_cell_length_a 5.5739
_cell_length_b 5.5739
_cell_length_c 8.6134
_cell_angle_alpha 90.00
_cell_angle_beta 90.00
_cell_angle_gamma 120.00
_symmetry_space_group_name_H-M 'P 1'
_symmetry_Int_Tables_number 1
loop_
_symmetry_equiv_pos_as_xyz
'x,y,z'
loop_
_atom_site_label
_atom_site_fract_x
_atom_site_fract_y
_atom_site_fract_z
_atom_site_occupancy
Tm1 0.3333 0.6667 0.2500 1
Tm2 0.6667 0.3333 0.7500 1
U1 0.6667 0.3333 0.2500 1
U2 0.3333 0.6667 0.7500 1
Co1 0.0000 0.0000 0.0000 1
Co2 0.0000 0.0000 0.5000 1
O1 0.6848 0.6643 0.1253 1
O2 0.9795 0.3152 0.1253 1
O3 0.3152 0.9795 0.6253 1
O4 0.0205 0.6848 0.8747 1
O5 0.3357 0.3152 0.3747 1
O6 0.9795 0.6643 0.3747 1
O7 0.6643 0.9795 0.8747 1
O8 0.6848 0.0205 0.3747 1
O9 0.0205 0.3357 0.6253 1
O10 0.3357 0.0205 0.1253 1
O11 0.6643 0.6848 0.6253 1
O12 0.3152 0.3357 0.8747 1